The following is a DFT calculation (PBE-GGA) of a relaxed structure of TeAs2Pt.

The value obtained for the density is 9.55 g/cm³. As for the calculated total energy: -33.97 eV/cell.

The space group is Cmmm (No. 65) and the conventional cell measures 5.706, 7.633 and 3.771 Å, with angles of 90.00, 90.00 and 90.00 degrees. Symmetry generates all atoms from Te at (0.000, 0.000, 0.000), As at (0.250, 0.250, 0.500) and Pt at (0.000, 0.500, 0.000).